# 1
Material: NdDyYTh2
Method: DFT, GGA-PBE
State: optimized geometry

Cell lengths 6.6947, 6.6755, 8.5997 Å; angles 112.84, 90.00, 90.00 degrees
Element x y z (fractional)
1 Y 0.2500 0.6532 0.3064
2 Y 0.7500 0.3468 0.6936
3 Dy 0.2500 0.2799 0.5599
4 Dy 0.7500 0.7201 0.4401
5 Nd 0.2500 0.8493 0.6986
6 Nd 0.7500 0.1507 0.3014
7 Th 0.5000 0.2555 0.0000
8 Th 0.0000 0.2555 0.0000
9 Th 0.0000 0.7445 0.0000
10 Th 0.5000 0.7445 0.0000

Results
total magnetization: 0.0 μB per formula unit
SG: Cmcm, No. 63
energy relative to the elements: 0.423 eV/atom
crystal system: orthorhombic

=====

# 2
Material: Na2Al2Te
Method: DFT, GGA-PBE
State: optimized geometry

Cell lengths 4.3684, 4.3684, 7.7208 Å; angles 73.57, 73.57, 90.00 degrees
Element x y z (fractional)
1 Na 0.2500 0.7500 0.5000
2 Na 0.7500 0.2500 0.5000
3 Te 0.0000 0.0000 0.0000
4 Al 0.5870 0.5870 0.8260
5 Al 0.4130 0.4130 0.1740

Results
total magnetization: 0.0 μB per formula unit
SG: I4/mmm, No. 139
crystal system: tetragonal
uncorrected formation energy: 0.6 eV per formula unit

=====

# 3
Material: La2Pr5Sm5
Method: DFT, GGA-PBE
State: optimized geometry

Cell lengths 5.2093, 8.2606, 11.0545 Å; angles 72.68, 76.37, 71.62 degrees
Element x y z (fractional)
1 Sm 0.3334 0.3331 0.0002
2 Sm 0.6666 0.6669 0.9998
3 Sm 0.5000 0.5000 0.5000
4 Sm 0.4164 0.9177 0.2495
5 Sm 0.5836 0.0823 0.7505
6 Pr 0.7516 0.2488 0.2481
7 Pr 0.0000 0.0000 0.0000
8 Pr 0.1662 0.1675 0.5002
9 Pr 0.2484 0.7512 0.7519
10 Pr 0.8338 0.8325 0.4998
11 La 0.0829 0.5846 0.2495
12 La 0.9171 0.4154 0.7505

Results
total magnetization: 0.0 μB per formula unit
SG: C2/m, No. 12
energy relative to the elements: 0.017 eV/atom
crystal system: monoclinic

=====

# 4
Material: SrSiNi2H
Method: DFT, GGA-PBE
State: optimized geometry

Cell lengths 3.6963, 5.8095, 6.8906 Å; angles 90.00, 90.00, 108.55 degrees
Element x y z (fractional)
1 Si 0.2735 0.5471 0.2500
2 Si 0.7265 0.4529 0.7500
3 Sr 0.4512 0.9024 0.7500
4 Sr 0.5488 0.0976 0.2500
5 Ni 0.1744 0.3489 0.9392
6 Ni 0.8256 0.6511 0.4392
7 Ni 0.8256 0.6511 0.0608
8 Ni 0.1744 0.3489 0.5608
9 H 0.0000 0.0000 0.0000
10 H 0.0000 0.0000 0.5000

Results
total magnetization: 0.0 μB per formula unit
SG: Cmcm, No. 63
electronic total energy: -4.89 eV/atom
crystal system: orthorhombic

=====

Respective Fermi-level density of states values: 7.6; 1.3; 20.7; 2.5 states/eV/f.u..
Respective calculated volume values: 35.420; 27.006; 35.472; 14.028 A^3/atom.